No. 1
DFT (PBE) results for a geometry-optimized OsRhSe2 structure.

## Properties
Distance to the lowest polymorph of the same formula (meV per atom): 216
DFT total energy (hartree per atom): -0.223
Total moment (μB/cell): 0.0
Formation energy without anion corrections (meV/atom): 309

Geometry as extended XYZ:
```
4
Lattice="7.998 -0.005 -0.003 7.408 3.016 -0.003 7.408 1.448 2.646" Properties=species:S:1:pos:R:3 pbc="T T T"
Os 5.704 1.115 0.660
Rh 17.111 3.344 1.980
Se 22.784 4.453 2.636
Se 11.438 2.235 1.323
```



No. 2
DFT (PBE) results for a geometry-optimized OsRhSe2 structure.

## Properties
Distance to the lowest polymorph of the same formula (meV per atom): 355
DFT total energy (hartree per atom): -0.218
Total moment (μB/cell): 0.8
Formation energy without anion corrections (meV/atom): 449

Geometry as extended XYZ:
```
4
Lattice="0.000 3.154 3.154 3.154 0.000 3.154 3.154 3.154 0.000" Properties=species:S:1:pos:R:3 pbc="T T T"
Os 3.154 3.154 3.154
Se 1.577 1.577 1.577
Se 4.731 4.731 4.731
Rh 0.000 0.000 0.000
```



No. 3
DFT (PBE) results for a geometry-optimized OsRh2Se structure.

## Properties
DFT total energy (hartree per atom): -0.246
Total moment (μB/cell): 0.0
Formation energy without anion corrections (meV/atom): 660

Geometry as extended XYZ:
```
8
Lattice="-0.688 3.488 4.529 -5.045 1.776 -2.134 -5.289 -1.172 3.760" Properties=species:S:1:pos:R:3 pbc="T T T"
Os -4.421 2.474 4.743
Os 0.000 0.000 0.000
Se -6.600 1.618 1.412
Se -2.866 2.632 1.198
Rh -9.028 3.743 4.897
Rh -4.555 1.221 0.132
Rh -2.389 2.141 3.545
Rh -6.070 1.079 3.738
```



No. 4
DFT (PBE) results for a geometry-optimized OsRhSe2 structure.

## Properties
Distance to the lowest polymorph of the same formula (meV per atom): 327
DFT total energy (hartree per atom): -0.219
Total moment (μB/cell): 0.0
Formation energy without anion corrections (meV/atom): 420

Geometry as extended XYZ:
```
4
Lattice="-0.068 -3.110 -0.350 3.129 -0.065 -0.031 0.048 -0.718 6.359" Properties=species:S:1:pos:R:3 pbc="T T T"
Se 0.024 -0.357 3.164
Se 0.000 -0.002 0.015
Os 1.543 -1.767 1.399
Rh 1.567 -2.126 4.578
```



No. 5
DFT (PBE) results for a geometry-optimized OsRhSe2 structure.

## Properties
Distance to the lowest polymorph of the same formula (meV per atom): 0
DFT total energy (hartree per atom): -0.231
Total moment (μB/cell): 0.0
Formation energy without anion corrections (meV/atom): 93

Geometry as extended XYZ:
```
4
Lattice="3.764 0.000 0.000 0.000 2.849 -0.008 0.000 1.317 7.400" Properties=species:S:1:pos:R:3 pbc="T T T"
Os 0.000 1.534 4.098
Se 0.000 1.539 6.572
Se 1.882 1.530 2.425
Rh 1.882 2.962 5.393
```



No. 6
DFT (PBE) results for a geometry-optimized OsRh2Se structure.

## Properties
DFT total energy (hartree per atom): -0.255
Total moment (μB/cell): 0.0
Formation energy without anion corrections (meV/atom): 403

Geometry as extended XYZ:
```
4
Lattice="-0.827 -3.226 -3.920 -3.230 -3.919 0.814 0.516 5.117 -0.026" Properties=species:S:1:pos:R:3 pbc="T T T"
Se -1.170 -0.840 -2.749
Os -2.371 -1.187 -0.382
Rh -3.965 -6.982 -3.035
Rh -2.121 -3.734 -1.623
```



No. 7
DFT (PBE) results for a geometry-optimized OsRh2Se structure.

## Properties
DFT total energy (hartree per atom): -0.263
Total moment (μB/cell): 0.0
Formation energy without anion corrections (meV/atom): 201

Geometry as extended XYZ:
```
4
Lattice="-4.004 7.771 -0.116 -6.227 6.122 0.439 -4.566 7.009 2.543" Properties=species:S:1:pos:R:3 pbc="T T T"
Se -3.699 5.225 0.717
Rh -14.784 20.883 2.864
Rh -7.412 10.469 1.436
Os -11.098 15.676 2.150
```



No. 8
DFT (PBE) results for a geometry-optimized OsRhSe2 structure.

## Properties
Distance to the lowest polymorph of the same formula (meV per atom): 439
DFT total energy (hartree per atom): -0.215
Total moment (μB/cell): 0.0
Formation energy without anion corrections (meV/atom): 532

Geometry as extended XYZ:
```
4
Lattice="-5.141 1.473 2.272 4.488 -4.533 1.805 -0.092 2.174 1.617" Properties=species:S:1:pos:R:3 pbc="T T T"
Rh -2.616 1.824 1.944
Se 0.000 0.000 0.000
Se 2.198 -1.180 1.711
Os -0.326 -1.530 2.039
```



No. 9
DFT (PBE) results for a geometry-optimized OsRhSe structure.

## Properties
Distance to the lowest polymorph of the same formula (meV per atom): 0
DFT total energy (hartree per atom): -0.257
Total moment (μB/cell): 0.0
Formation energy without anion corrections (meV/atom): 362

Geometry as extended XYZ:
```
3
Lattice="-0.690 2.836 -0.023 -1.693 -1.926 -1.394 -3.352 -0.773 5.139" Properties=species:S:1:pos:R:3 pbc="T T T"
Os -3.311 -0.764 5.075
Se -3.293 0.726 2.998
Rh -2.484 -0.598 0.787
```



No. 10
DFT (PBE) results for a geometry-optimized OsRh3Se structure.

## Properties
Distance to the lowest polymorph of the same formula (meV per atom): 0
DFT total energy (hartree per atom): -0.224
Total moment (μB/cell): 3.3
Formation energy without anion corrections (meV/atom): 1254

Geometry as extended XYZ:
```
5
Lattice="-0.917 2.213 3.823 -1.919 -3.716 1.690 3.978 -1.283 1.697" Properties=species:S:1:pos:R:3 pbc="T T T"
Rh 1.989 -0.641 0.848
Rh -0.459 1.106 1.911
Rh -0.960 -1.858 0.845
Os 0.571 -1.393 3.605
Se 0.000 0.000 0.000
```



No. 11
DFT (PBE) results for a geometry-optimized OsRhSe structure.

## Properties
Distance to the lowest polymorph of the same formula (meV per atom): 4
DFT total energy (hartree per atom): -0.257
Total moment (μB/cell): 0.0
Formation energy without anion corrections (meV/atom): 366

Geometry as extended XYZ:
```
6
Lattice="2.964 0.000 0.000 -1.482 2.567 0.000 0.000 0.000 12.627" Properties=species:S:1:pos:R:3 pbc="T T T"
Os 1.482 0.857 4.191
Os 1.482 0.857 8.436
Se 0.000 1.712 2.381
Se 0.000 1.712 10.246
Rh 0.000 1.706 0.000
Rh 0.000 1.713 6.314
```



No. 12
DFT (PBE) results for a geometry-optimized OsRhSe3 structure.

## Properties
Distance to the lowest polymorph of the same formula (meV per atom): 0
DFT total energy (hartree per atom): -0.174
Total moment (μB/cell): 1.8
Formation energy without anion corrections (meV/atom): 1071

Geometry as extended XYZ:
```
5
Lattice="-0.882 -3.781 2.892 4.019 0.985 2.513 -2.551 2.859 2.959" Properties=species:S:1:pos:R:3 pbc="T T T"
Se 2.009 0.492 1.256
Se -1.275 1.429 1.480
Se -0.441 -1.890 1.446
Rh 0.293 0.031 4.182
Os 0.000 0.000 0.000
```